[1]
Material: VS2Br2N3
Method: DFT, GGA-PBE
State: optimized geometry

Cell lengths 6.040, 8.031, 8.388 Å; angles 86.42, 80.04, 73.49 degrees
Fractional coordinates of all 16 atoms:
V 0.238 0.004 0.367
V 0.762 0.996 0.633
S 0.209 0.710 0.697
S 0.225 0.279 0.091
S 0.775 0.721 0.909
S 0.791 0.290 0.303
Br 0.251 0.744 0.229
Br 0.343 0.192 0.566
Br 0.657 0.808 0.434
Br 0.749 0.256 0.771
N 0.051 0.645 0.845
N 0.070 0.875 0.602
N 0.333 0.118 0.200
N 0.667 0.882 0.800
N 0.930 0.125 0.398
N 0.949 0.355 0.155

Calculated volume   384.2 Å³/cell
Space-group type   P-1 (2)
Magnetization   0.00 μB per formula unit
Calculated density   2.74 g cm⁻³
E_form (uncorrected)   -0.14 eV/atom


[2]
Material: Pa2AsRh
Method: DFT, GGA-PBE
State: optimized geometry

Cell lengths 10.512, 10.512, 10.512 Å; angles 17.26, 17.26, 17.26 degrees
Fractional coordinates of all 4 atoms:
Pa 0.093 0.093 0.093
Pa 0.907 0.907 0.907
As 0.000 0.000 0.000
Rh 0.500 0.500 0.500

Calculated volume   89.2 Å³/cell
DOS at the Fermi energy   1.42 states/eV per atom
Space-group type   R-3m (166)
Magnetization   0.00 μB per formula unit
Calculated density   11.91 g cm⁻³
Formation enthalpy at 0 K   -0.06 eV per atom
Energy relative to the lowest polymorph listed for this composition   724.0 meV/atom


[3]
Material: PmZrGeRh
Method: DFT, GGA-PBE
State: optimized geometry

Cell lengths 4.899, 4.899, 4.899 Å; angles 60.00, 60.00, 60.00 degrees
Fractional coordinates of all 4 atoms:
Pm 0.000 0.000 0.000
Zr 0.500 0.500 0.500
Ge 0.750 0.750 0.750
Rh 0.250 0.250 0.250

Calculated volume   83.1 Å³/cell
DOS at the Fermi energy   0.81 states/eV per atom
Space-group type   F-43m (216)
Magnetization   0.00 μB per formula unit
Calculated density   8.22 g cm⁻³
Formation enthalpy at 0 K   -0.51 eV per atom


[4]
Material: VAs2I
Method: DFT, GGA-PBE
State: optimized geometry

Cell lengths 7.505, 7.505, 7.505 Å; angles 130.09, 130.09, 73.27 degrees
Fractional coordinates of all 8 atoms:
V 0.000 0.000 0.000
V 0.750 0.250 0.500
As 0.010 0.625 0.885
As 0.375 0.260 0.385
As 0.740 0.125 0.115
As 0.875 0.990 0.615
I 0.250 0.750 0.500
I 0.500 0.500 0.000

Calculated volume   241.6 Å³/cell
DOS at the Fermi energy   1.00 states/eV per atom
Space-group type   I-42d (122)
Magnetization   0.00 μB per formula unit
Calculated density   4.50 g cm⁻³
E_form (uncorrected)   0.37 eV/atom
Energy relative to the lowest polymorph listed for this composition   315.0 meV/atom


[5]
Material: LiThAlTc
Method: DFT, GGA-PBE
State: optimized geometry

Cell lengths 4.718, 4.718, 4.718 Å; angles 60.00, 60.00, 60.00 degrees
Fractional coordinates of all 4 atoms:
Li 0.000 0.000 0.000
Th 0.250 0.250 0.250
Al 0.750 0.750 0.750
Tc 0.500 0.500 0.500

Calculated volume   74.3 Å³/cell
DOS at the Fermi energy   1.01 states/eV per atom
Space-group type   F-43m (216)
Magnetization   0.00 μB per formula unit
Calculated density   8.14 g cm⁻³
Formation enthalpy at 0 K   -0.13 eV per atom


[6]
Material: Ce2CdIn
Method: DFT, GGA-PBE
State: optimized geometry

Cell lengths 4.592, 4.592, 4.901 Å; angles 90.00, 90.00, 90.00 degrees
Fractional coordinates of all 4 atoms:
Ce 0.000 0.500 0.000
Ce 0.500 0.000 0.000
Cd 0.000 0.000 0.500
In 0.500 0.500 0.500

Calculated volume   103.3 Å³/cell
DOS at the Fermi energy   2.45 states/eV per atom
Space-group type   P4/mmm (123)
Magnetization   1.20 μB per formula unit
Calculated density   8.15 g cm⁻³
Formation enthalpy at 0 K   -0.27 eV per atom
Energy relative to the lowest polymorph listed for this composition   0.0 meV/atom


[7]
Material: Na3Nd2InO6
Method: DFT, GGA-PBE
State: optimized geometry

Cell lengths 6.045, 6.045, 5.978 Å; angles 99.41, 99.41, 120.16 degrees
Fractional coordinates of all 12 atoms:
Na 0.000 0.000 0.000
Na 0.347 0.653 0.000
Na 0.653 0.347 0.000
Nd 0.167 0.833 0.500
Nd 0.833 0.167 0.500
In 0.500 0.500 0.500
O 0.111 0.429 0.282
O 0.252 0.252 0.716
O 0.429 0.111 0.282
O 0.571 0.889 0.718
O 0.748 0.748 0.284
O 0.889 0.571 0.718

Calculated volume   178.4 Å³/cell
DOS at the Fermi energy   0.00 states/eV per atom
Space-group type   C2/m (12)
Magnetization   0.00 μB per formula unit
Calculated density   5.29 g cm⁻³
E_form (uncorrected)   -2.25 eV/atom


[8]
Material: FeGe2Mo2
Method: DFT, GGA-PBE
State: optimized geometry

Cell lengths 6.083, 6.083, 3.953 Å; angles 90.00, 90.00, 90.00 degrees
Fractional coordinates of all 10 atoms:
Fe 0.000 0.000 0.000
Fe 0.500 0.500 0.000
Ge 0.144 0.356 0.000
Ge 0.356 0.856 0.000
Ge 0.644 0.144 0.000
Ge 0.856 0.644 0.000
Mo 0.167 0.667 0.500
Mo 0.333 0.167 0.500
Mo 0.667 0.833 0.500
Mo 0.833 0.333 0.500

Calculated volume   146.3 Å³/cell
DOS at the Fermi energy   0.89 states/eV per atom
Space-group type   P4/mbm (127)
Magnetization   1.71 μB per formula unit
Calculated density   8.92 g cm⁻³
Formation enthalpy at 0 K   0.09 eV per atom